Entry 1:
A plane-wave DFT calculation with SCAN was carried out for Sr2TcSb at its PBEsol-relaxed geometry.

Unit cell a=3.507 b=4.472 c=6.812 alpha=90.00 beta=90.00 gamma=90.00
Space group Pmmm (No. 47)
One atom of each set of equivalent atoms:
Sr  0.000  0.000  0.243 [2 per cell]
Tc  0.500  0.500  0.000 [1 per cell]
Sb  0.500  0.500  0.500 [1 per cell]

Calculated values
The calculation puts the calculated volume at 107 Å³/cell. The uncorrected energy is -116.029 eV for the cell shown.

***

Entry 2:
A plane-wave DFT calculation with SCAN was carried out for TlPtAu at its PBEsol-relaxed geometry.

Unit cell a=6.322 b=6.322 c=6.322 alpha=90.00 beta=90.00 gamma=90.00
Space group F-43m (No. 216)
One atom of each set of equivalent atoms:
Tl  0.000  0.000  0.000 [4 per cell]
Pt  0.000  0.000  0.500 [4 per cell]
Au  0.250  0.250  0.250 [4 per cell]

Calculated values
The calculation puts the calculated volume at 253 Å³/cell. As for the formation energy: 0.276 eV per atom.

***

Entry 3:
A plane-wave DFT calculation with SCAN was carried out for Li3TlBr at its PBEsol-relaxed geometry.

Unit cell a=4.842 b=4.842 c=4.842 alpha=90.00 beta=90.00 gamma=90.00
Space group Pm-3m (No. 221)
One atom of each set of equivalent atoms:
Li  0.000  0.000  0.500 [3 per cell]
Tl  0.500  0.500  0.500 [1 per cell]
Br  0.000  0.000  0.000 [1 per cell]

Calculated values
The calculation puts the calculated volume at 114 Å³/cell. The uncorrected energy is -101.794 eV for the cell shown.

***

Entry 4:
A plane-wave DFT calculation with SCAN was carried out for SmErO3 at its PBEsol-relaxed geometry.

Unit cell a=5.929 b=8.317 c=5.666 alpha=90.00 beta=90.00 gamma=90.00
Space group Pnma (No. 62)
One atom of each set of equivalent atoms:
Sm  0.057  0.250  0.022 [4 per cell]
Er  0.000  0.000  0.500 [4 per cell]
O  0.068  0.750  0.359 [4 per cell]
O  0.194  0.576  0.809 [8 per cell]

Calculated values
The calculation puts the calculated volume at 279 Å³/cell. The uncorrected energy is -530.636 eV for the cell shown.

***

Entry 5:
A plane-wave DFT calculation with SCAN was carried out for Cs2LiF at its PBEsol-relaxed geometry.

Unit cell a=8.640 b=8.640 c=8.640 alpha=90.00 beta=90.00 gamma=90.00
Space group Fm-3m (No. 225)
One atom of each set of equivalent atoms:
Cs  0.250  0.250  0.250 [8 per cell]
Li  0.000  0.000  0.000 [4 per cell]
F  0.000  0.000  0.500 [4 per cell]

Calculated values
The calculation puts the calculated volume at 645 Å³/cell. The uncorrected energy is -339.621 eV for the cell shown.

***

Entry 6:
A plane-wave DFT calculation with SCAN was carried out for Mg2BeIr2 at its PBEsol-relaxed geometry.

Unit cell a=5.968 b=5.968 c=4.196 alpha=90.00 beta=90.00 gamma=90.00
Space group P4/mbm (No. 127)
One atom of each set of equivalent atoms:
Mg  0.166  0.334  0.000 [4 per cell]
Be  0.000  0.000  0.500 [2 per cell]
Ir  0.149  0.649  0.500 [4 per cell]

Calculated values
The calculation puts the calculated volume at 149 Å³/cell. As for the formation energy: -0.499 eV per atom.

***

Entry 7:
A plane-wave DFT calculation with SCAN was carried out for AlCr3 at its PBEsol-relaxed geometry.

Unit cell a=4.091 b=4.091 c=2.960 alpha=90.00 beta=90.00 gamma=90.00
Space group P4/mmm (No. 123)
One atom of each set of equivalent atoms:
Al  0.000  0.000  0.000 [1 per cell]
Cr  0.000  0.500  0.500 [2 per cell]
Cr  0.500  0.500  0.000 [1 per cell]

Calculated values
The calculation puts the calculated volume at 50 Å³/cell. As for the formation energy: -0.270 eV per atom.

***

Entry 8:
A plane-wave DFT calculation with SCAN was carried out for SrCuH6O5 at its PBEsol-relaxed geometry.

Unit cell a=5.266 b=6.147 c=7.885 alpha=90.00 beta=107.86 gamma=90.00
Space group P2/c (No. 13)
One atom of each set of equivalent atoms:
Sr  0.000  0.045  0.250 [2 per cell]
Cu  0.000  0.500  0.000 [2 per cell]
H  0.353  0.233  0.033 [4 per cell]
H  0.378  0.457  0.396 [4 per cell]
H  0.432  0.217  0.642 [4 per cell]
O  0.158  0.220  0.006 [4 per cell]
O  0.291  0.344  0.446 [4 per cell]
O  0.500  0.120  0.750 [2 per cell]

Calculated values
The calculation puts the calculated volume at 243 Å³/cell. The uncorrected energy is -214.726 eV for the cell shown.

***

Entry 9:
A plane-wave DFT calculation with SCAN was carried out for Na3InRu at its PBEsol-relaxed geometry.

Unit cell a=5.316 b=5.316 c=5.316 alpha=90.00 beta=90.00 gamma=90.00
Space group Pm-3m (No. 221)
One atom of each set of equivalent atoms:
Na  0.000  0.000  0.500 [3 per cell]
In  0.500  0.500  0.500 [1 per cell]
Ru  0.000  0.000  0.000 [1 per cell]

Calculated values
The calculation puts the calculated volume at 150 Å³/cell. As for the formation energy: 0.912 eV per atom. For the polymorph energy (0 for the lowest one), the calculation gives 0 meV/atom.

***

Entry 10:
A plane-wave DFT calculation with SCAN was carried out for MgPb2WO6 at its PBEsol-relaxed geometry.

Unit cell a=11.434 b=7.922 c=5.701 alpha=90.00 beta=90.00 gamma=90.00
Space group Pnma (No. 62)
One atom of each set of equivalent atoms:
Mg  0.122  0.250  0.247 [4 per cell]
Pb  0.145  0.506  0.712 [8 per cell]
W  0.115  0.750  0.244 [4 per cell]
O  0.001  0.750  0.484 [4 per cell]
O  0.010  0.750  0.002 [4 per cell]
O  0.134  0.509  0.270 [8 per cell]
O  0.236  0.750  0.523 [4 per cell]
O  0.248  0.250  0.537 [4 per cell]

Calculated values
The calculation puts the calculated volume at 516 Å³/cell. For the polymorph energy (0 for the lowest one), the calculation gives 0 meV/atom.

***

Entry 11:
A plane-wave DFT calculation with SCAN was carried out for LaCeSn6 at its PBEsol-relaxed geometry.

Unit cell a=4.675 b=4.675 c=9.350 alpha=90.00 beta=90.00 gamma=90.00
Space group P4/mmm (No. 123)
One atom of each set of equivalent atoms:
La  0.000  0.000  0.000 [1 per cell]
Ce  0.000  0.000  0.500 [1 per cell]
Sn  0.000  0.500  0.255 [4 per cell]
Sn  0.500  0.500  0.000 [1 per cell]
Sn  0.500  0.500  0.500 [1 per cell]

Calculated values
The calculation puts the calculated volume at 204 Å³/cell. As for the formation energy: -0.598 eV per atom.

***

Entry 12:
A plane-wave DFT calculation with SCAN was carried out for YTa2Tc at its PBEsol-relaxed geometry.

Unit cell a=3.227 b=4.840 c=9.459 alpha=90.00 beta=90.00 gamma=90.00
Space group Imm2 (No. 44)
One atom of each set of equivalent atoms:
Y  0.000  0.000  0.000 [2 per cell]
Ta  0.000  0.000  0.539 [2 per cell]
Ta  0.000  0.500  0.772 [2 per cell]
Tc  0.000  0.500  0.252 [2 per cell]

Calculated values
The calculation puts the calculated volume at 148 Å³/cell. As for the formation energy: 0.160 eV per atom. For the polymorph energy (0 for the lowest one), the calculation gives 130 meV/atom.

***

Look up the calculated volume of the fifth one. 645 Å³/cell

***

Copy entry 6 word for word.
A plane-wave DFT calculation with SCAN was carried out for Mg2BeIr2 at its PBEsol-relaxed geometry.

Unit cell a=5.968 b=5.968 c=4.196 alpha=90.00 beta=90.00 gamma=90.00
Space group P4/mbm (No. 127)
One atom of each set of equivalent atoms:
Mg  0.166  0.334  0.000 [4 per cell]
Be  0.000  0.000  0.500 [2 per cell]
Ir  0.149  0.649  0.500 [4 per cell]

Calculated values
The calculation puts the calculated volume at 149 Å³/cell. As for the formation energy: -0.499 eV per atom.